[1]
3
Lattice="5.639 1.398 4.154 0.971 -0.603 7.050 -2.357 -3.138 -5.967" Properties=species:S:1:pos:R:3 comment="Sb2Br, optimized geometry, DFT PBE" spacegroup="I4/mmm, No. 139" e_above_lowest_polymorph_kcal_per_mol_atoms=3.785 magmom_total_mub_per_fu=0.00 formation_energy_uncorrected_ev_per_atom=-0.0259 energy_ev_per_atom=-3.33 pbc="T T T"
Sb 5.180 0.623 8.779
Sb 1.431 0.172 2.425
Br 0.000 0.000 0.000

[2]
20
Lattice="-3.778 -3.596 -2.446 3.283 -0.245 -4.711 7.297 -6.581 -1.596" Properties=species:S:1:pos:R:3 comment="Sr2ScTaO6, optimized geometry, DFT PBE" spacegroup="P2_1/c, No. 14" magmom_total_mub_per_fu=0.00 formation_energy_uncorrected_ev_per_atom=-3.2056 energy_ev_per_atom=-8.34 pbc="T T T"
Sr 4.473 -6.716 -3.523
Sr 2.329 -3.706 -5.230
Sr 4.254 -8.637 -7.144
Sr 2.548 -1.784 -1.609
Sc 0.000 0.000 0.000
Sc 1.760 -5.088 -2.021
Ta 5.290 -3.413 -3.153
Ta -0.247 -1.920 -3.578
O 6.426 -5.008 -2.711
O 0.376 -5.414 -6.041
O 5.831 -6.985 -5.669
O 0.971 -3.437 -3.083
O 6.993 -9.145 -7.075
O -0.190 -1.277 -1.678
O 3.713 -4.325 -2.311
O 3.089 -6.097 -6.442
O 8.650 -7.373 -5.626
O -1.848 -3.049 -3.126
O 1.960 -6.187 -3.820
O 4.842 -4.235 -4.932

[3]
8
Lattice="3.124 -5.412 0.000 3.124 5.412 0.000 0.000 0.000 4.710" Properties=species:S:1:pos:R:3 comment="SrPd3, optimized geometry, DFT PBE" spacegroup="P6_3/mmc, No. 194" magmom_total_mub_per_fu=0.00 formation_enthalpy_0k_mev_per_atom=-342 energy_ev_per_atom=-4.66 pbc="T T T"
Sr 3.124 1.804 3.533
Sr 3.124 -1.804 1.178
Pd 1.405 0.811 1.178
Pd 4.844 0.811 1.178
Pd 3.124 3.789 1.178
Pd 4.844 -0.811 3.533
Pd 1.405 -0.811 3.533
Pd 3.124 -3.789 3.533

[4]
7
Lattice="-0.940 -0.256 -4.826 -4.165 -2.090 -1.590 -5.810 7.115 -1.758" Properties=species:S:1:pos:R:3 comment="Y4InCu2, optimized geometry, DFT PBE" spacegroup="R-3m, No. 166" magmom_total_mub_per_fu=0.00 formation_enthalpy_0k_mev_per_atom=-82 energy_ev_per_atom=-5.34 pbc="T T T"
Y -8.746 4.653 -6.079
Y -6.542 0.418 -6.283
Y -2.169 0.116 -2.095
Y -4.372 4.351 -1.891
In -5.457 2.385 -4.087
Cu -4.243 0.050 -4.200
Cu -6.672 4.719 -3.974